[1]
InFeRu2 | PBE | relaxed

Results
Space-group type: No. 12
Total DFT energy (no corrections): -28.9 eV per cell
Spin magnetization: 3.0 μB per cell
DOS(E_F): 4.6 states/eV/cell

abc: 4.6534 4.6534 4.9263
angles: 77.86 77.86 35.87
Closest atoms and distances in Å follow each position.
Positions (direct):
Fe  0.2500  0.2500  0.2500  6 Ru 2.56-2.77, 4 In 2.85, 2 Fe 2.87
In  0.7500  0.7500  0.7500  6 Ru 2.77-2.83, 4 Fe 2.85, 2 In 2.87
Ru  0.9862  0.9862  0.0358  3 Fe 2.56-2.77, 4 Ru 2.61-2.87, 3 In 2.77-2.83
Ru  0.5138  0.5138  0.4642  3 Fe 2.56-2.77, 4 Ru 2.61-2.87, 3 In 2.77-2.83

---

[2]
InFe2Ru | PBE | relaxed

Results
Space-group type: No. 160
Total DFT energy (no corrections): -27.6 eV per cell
Spin magnetization: 4.7 μB per cell
DOS(E_F): 4.1 states/eV/cell

abc: 8.4829 8.4829 8.4829
angles: 19.51 19.51 19.51
Closest atoms and distances in Å follow each position.
Positions (direct):
Fe  0.9969  0.9969  0.9969  3 Fe 2.42, 3 Ru 2.56
Fe  0.2597  0.2597  0.2597  3 Fe 2.42
In  0.5020  0.5020  0.5020  3 Fe 2.81, 3 Ru 2.87, 6 In 2.88
Ru  0.7414  0.7414  0.7414  3 Fe 2.56

---

[3]
In2FeRu | PBE | relaxed

Results
Space-group type: No. 12
Total DFT energy (no corrections): -91.1 eV per cell
Relative energy among the computed polymorphs: 0.012 eV per atom
Spin magnetization: 12.5 μB per cell
DOS(E_F): 11.0 states/eV/cell

abc: 8.1329 4.3709 9.7888
angles: 90.00 123.89 90.00
Closest atoms and distances in Å follow each position.
Positions (direct):
Ru  0.2137  0.0000  0.6778  3 Fe 2.60-2.66, 5 In 2.68-2.88
Ru  0.7863  0.0000  0.3222  3 Fe 2.60-2.66, 5 In 2.68-2.88
Ru  0.2137  0.5000  0.1778  3 Fe 2.60-2.66, 5 In 2.68-2.88
Ru  0.7863  0.5000  0.8222  3 Fe 2.60-2.66, 5 In 2.68-2.88
Fe  0.4212  0.0000  0.2564  2 Fe 2.57, 3 Ru 2.60-2.66, 1 In 2.83
Fe  0.5788  0.0000  0.7436  2 Fe 2.57, 3 Ru 2.60-2.66, 1 In 2.83
Fe  0.4212  0.5000  0.7564  2 Fe 2.57, 3 Ru 2.60-2.66, 1 In 2.83
Fe  0.5788  0.5000  0.2436  2 Fe 2.57, 3 Ru 2.60-2.66, 1 In 2.83
In  0.5000  0.5000  0.5000  2 Ru 2.68, 2 Fe 2.92
In  0.5000  0.0000  0.0000  2 Ru 2.68, 2 Fe 2.92
In  0.8292  0.0000  0.6272  4 Ru 2.81-3.05, 1 Fe 2.83, 3 In 3.10-3.13
In  0.1708  0.0000  0.3728  4 Ru 2.81-3.05, 1 Fe 2.83, 3 In 3.10-3.13
In  0.8292  0.5000  0.1272  4 Ru 2.81-3.05, 1 Fe 2.83, 3 In 3.10-3.13
In  0.1708  0.5000  0.8728  4 Ru 2.81-3.05, 1 Fe 2.83, 3 In 3.10-3.13
In  0.0000  0.0000  0.0000  4 Ru 2.73, 2 Fe 2.91
In  0.0000  0.5000  0.5000  4 Ru 2.73, 2 Fe 2.91

---

Computed formation energy, in the same sequence as the records: 216; 345; 113 meV/atom.